LiPm2Ir2: relaxed, PBE-GGA.

abc: 5.5556 5.5556 5.5556
angles: 134.53 115.45 82.47
Sites, in units of the cell vectors:
Li1 0.0000 0.0000 0.0000
Pm1 0.2937 0.7937 0.5000
Pm2 0.7063 0.2063 0.5000
Ir1 0.2727 0.5000 0.7727
Ir2 0.7273 0.5000 0.2273

* N(E_F): 2.667 states/eV per cell
* E_tot: -6.403 eV/atom
* relative energy among the computed polymorphs: 0.000 eV per atom
* DFT formation energy: -55.5 kJ/mol of atoms

***

LiPmIr: relaxed, PBE-GGA.

abc: 7.4977 7.4977 7.4977
angles: 35.28 35.28 35.28
Sites, in units of the cell vectors:
Li1 0.0486 0.0486 0.0486
Li2 0.9514 0.9514 0.9514
Pm1 0.2333 0.2333 0.2333
Pm2 0.7667 0.7667 0.7667
Ir1 0.3710 0.3710 0.3710
Ir2 0.6290 0.6290 0.6290

* N(E_F): 1.766 states/eV per cell
* E_tot: -5.325 eV/atom
* relative energy among the computed polymorphs: 0.301 eV per atom
* DFT formation energy: -14.4 kJ/mol of atoms

***

LiPmIr: relaxed, PBE-GGA.

abc: 4.6281 4.6281 4.6281
angles: 60.00 60.00 60.00
Sites, in units of the cell vectors:
Li1 0.0000 0.0000 0.0000
Pm1 0.5000 0.5000 0.5000
Ir1 0.7500 0.7500 0.7500

* N(E_F): 3.547 states/eV per cell
* E_tot: -5.386 eV/atom
* relative energy among the computed polymorphs: 0.239 eV per atom
* DFT formation energy: -20.4 kJ/mol of atoms

***

LiPm2Ir2: relaxed, PBE-GGA.

abc: 5.7587 5.7587 8.0753
angles: 104.94 104.94 57.01
Sites, in units of the cell vectors:
Li1 0.1310 0.8690 0.7500
Li2 0.8690 0.1310 0.2500
Pm1 0.1985 0.5099 0.3516
Pm2 0.4901 0.8015 0.1484
Pm3 0.5099 0.1985 0.8516
Pm4 0.8015 0.4901 0.6484
Ir1 0.0145 0.7148 0.9882
Ir2 0.2852 0.9855 0.5118
Ir3 0.7148 0.0145 0.4882
Ir4 0.9855 0.2852 0.0118

* N(E_F): 4.036 states/eV per cell
* E_tot: -6.379 eV/atom
* relative energy among the computed polymorphs: 0.024 eV per atom
* DFT formation energy: -53.2 kJ/mol of atoms

***

Li2PmIr: relaxed, PBE-GGA.

abc: 4.5785 4.5785 4.5785
angles: 60.00 60.00 60.00
Sites, in units of the cell vectors:
Li1 0.2500 0.2500 0.2500
Li2 0.7500 0.7500 0.7500
Pm1 0.0000 0.0000 0.0000
Ir1 0.5000 0.5000 0.5000

* N(E_F): 1.529 states/eV per cell
* E_tot: -4.493 eV/atom
* relative energy among the computed polymorphs: 0.141 eV per atom
* DFT formation energy: -12.9 kJ/mol of atoms

***

LiPmIr: relaxed, PBE-GGA.

abc: 4.7340 4.7340 7.6851
angles: 107.87 107.87 89.99
Sites, in units of the cell vectors:
Li1 0.1942 0.1942 0.3876
Li2 0.8058 0.8058 0.6124
Pm1 0.0000 0.5000 0.0000
Pm2 0.5000 0.0000 0.0000
Ir1 0.3828 0.3828 0.7640
Ir2 0.6172 0.6172 0.2360

* N(E_F): 2.048 states/eV per cell
* E_tot: -5.087 eV/atom
* relative energy among the computed polymorphs: 0.538 eV per atom
* DFT formation energy: 8.5 kJ/mol of atoms